The following is a DFT calculation (GGA-PBE) of a relaxed Pm4ZnCd3 crystal.

a = 3.7583 Å, b = 3.7583 Å, c = 15.3817 Å
α = 90.00°, β = 90.00°, γ = 90.00°
Closest atoms and distances in Å follow each position.
Atoms (fractional coordinates):
Zn 0.5000 0.5000 0.0000  8 Pm 3.17
Cd 0.5000 0.5000 0.2428  8 Pm 3.31-3.33
Cd 0.5000 0.5000 0.5000  8 Pm 3.31
Cd 0.5000 0.5000 0.7572  8 Pm 3.31-3.33
Pm 0.0000 0.0000 0.8880  4 Zn 3.17, 4 Cd 3.33, 1 Pm 3.45
Pm 0.0000 0.0000 0.1120  4 Zn 3.17, 4 Cd 3.33, 1 Pm 3.45
Pm 0.0000 0.0000 0.3716  8 Cd 3.31
Pm 0.0000 0.0000 0.6284  8 Cd 3.31

Computed properties:
E_tot (eV/cell): -25.57
Space group: P4/mmm
Energy of formation from the pure elements (eV per atom): -0.32


The following is a DFT calculation (GGA-PBE) of a relaxed Lu2TeO6 crystal.

a = 9.0292 Å, b = 9.0292 Å, c = 5.0737 Å
α = 90.00°, β = 90.00°, γ = 120.00°
Closest atoms and distances in Å follow each position.
Atoms (fractional coordinates):
Lu 0.0000 0.6240 0.0000  6 O 2.19-2.30
Lu 0.0000 0.2874 0.5000  6 O 2.16-2.29
Lu 0.3760 0.3760 0.0000  6 O 2.19-2.30
Lu 0.2874 0.0000 0.5000  6 O 2.16-2.29
Lu 0.7126 0.7126 0.5000  6 O 2.16-2.29
Lu 0.6240 0.0000 0.0000  6 O 2.19-2.30
Te 0.3333 0.6667 0.5006  6 O 1.95-1.96
Te 0.0000 0.0000 0.0000  6 O 1.94
Te 0.6667 0.3333 0.4994  6 O 1.95-1.96
O 0.0834 0.8789 0.7859  1 Te 1.94, 1 Lu 2.16
O 0.2241 0.7635 0.2821  1 Te 1.96
O 0.1291 0.5432 0.7180  1 Te 1.95
O 0.4141 0.8709 0.7180  1 Te 1.95
O 0.2365 0.4607 0.2821  1 Te 1.96
O 0.1211 0.2045 0.7859  1 Te 1.94, 1 Lu 2.16
O 0.2045 0.1211 0.2141  1 Te 1.94, 1 Lu 2.16
O 0.5393 0.7759 0.2821  1 Te 1.96
O 0.4568 0.5859 0.7180  1 Te 1.95
O 0.7955 0.9166 0.7859  1 Te 1.94, 1 Lu 2.16
O 0.4607 0.2365 0.7179  1 Te 1.96
O 0.5859 0.4568 0.2820  1 Te 1.95
O 0.5432 0.1291 0.2820  1 Te 1.95
O 0.7759 0.5393 0.7179  1 Te 1.96
O 0.9166 0.7955 0.2141  1 Te 1.94, 1 Lu 2.16
O 0.7635 0.2241 0.7179  1 Te 1.96
O 0.8709 0.4141 0.2820  1 Te 1.95
O 0.8789 0.0834 0.2141  1 Te 1.94, 1 Lu 2.16

Computed properties:
Uncorrected formation energy (eV/atom): -2.60
E_tot (eV/cell): -195.92
Space group: P321


The following is a DFT calculation (GGA-PBE) of a relaxed PmPrAu crystal.

a = 5.1144 Å, b = 9.2601 Å, c = 7.3873 Å
α = 90.00°, β = 90.00°, γ = 90.00°
Closest atoms and distances in Å follow each position.
Atoms (fractional coordinates):
Pm 0.7500 0.9150 0.1512  4 Au 2.98-3.15
Pm 0.7500 0.5850 0.6512  4 Au 2.98-3.15
Pm 0.2500 0.0850 0.8488  4 Au 2.98-3.15
Pm 0.2500 0.4150 0.3488  4 Au 2.98-3.15
Pr 0.2500 0.8233 0.4924  3 Au 3.08-3.26
Pr 0.7500 0.3233 0.0076  3 Au 3.08-3.26
Pr 0.2500 0.6767 0.9924  3 Au 3.08-3.26
Pr 0.7500 0.1767 0.5076  3 Au 3.08-3.26
Au 0.7500 0.5955 0.2476  4 Pm 2.98-3.15, 3 Pr 3.08-3.26
Au 0.7500 0.9045 0.7476  4 Pm 2.98-3.15, 3 Pr 3.08-3.26
Au 0.2500 0.0955 0.2524  4 Pm 2.98-3.15, 3 Pr 3.08-3.26
Au 0.2500 0.4045 0.7524  4 Pm 2.98-3.15, 3 Pr 3.08-3.26

Computed properties:
E_tot (eV/cell): -57.91
Space group: Pnma
Energy of formation from the pure elements (eV per atom): -0.56


The following is a DFT calculation (GGA-PBE) of a relaxed Ho2ScPbC crystal.

a = 4.6013 Å, b = 4.8883 Å, c = 4.8883 Å
α = 90.00°, β = 90.00°, γ = 90.00°
Closest atoms and distances in Å follow each position.
Atoms (fractional coordinates):
Ho 0.0000 0.0000 0.5000  2 C 2.44
Ho 0.0000 0.5000 0.0000  2 C 2.44
Sc 0.5000 0.0000 0.0000  2 C 2.30
Pb 0.5000 0.5000 0.5000  8 Ho 3.36, 4 Sc 3.46
C 0.0000 0.0000 0.0000  2 Sc 2.30, 4 Ho 2.44

Computed properties:
E_tot (eV/cell): -31.33
Space group: P4/mmm
Energy of formation from the pure elements (eV per atom): -0.58


The following is a DFT calculation (GGA-PBE) of a relaxed PuO4F crystal.

a = 6.1299 Å, b = 5.8716 Å, c = 7.0611 Å
α = 102.02°, β = 103.61°, γ = 118.57°
Closest atoms and distances in Å follow each position.
Atoms (fractional coordinates):
Pu 0.1837 0.4337 0.3673  4 O 1.87
Pu 0.8163 0.5663 0.6327  4 O 1.87
O 0.1222 0.8864 0.8527  1 F 1.83, 1 Pu 1.87
O 0.7305 0.4663 0.8527  1 F 1.83, 1 Pu 1.87
O 0.9511 0.6607 0.4288  1 Pu 1.87
O 0.0489 0.3393 0.5712  1 Pu 1.87
O 0.5222 0.7318 0.5712  1 Pu 1.87
O 0.2695 0.5337 0.1473  1 F 1.83, 1 Pu 1.87
O 0.4778 0.2682 0.4288  1 Pu 1.87
O 0.8778 0.1136 0.1473  1 F 1.83, 1 Pu 1.87
F 0.4155 0.1655 0.8309  2 O 1.83
F 0.5845 0.8345 0.1691  2 O 1.83

Computed properties:
Uncorrected formation energy (eV/atom): -1.43
E_tot (eV/cell): -89.18
Space group: C2/c


The following is a DFT calculation (GGA-PBE) of a relaxed TlSnTe3Au crystal.

a = 4.4154 Å, b = 8.6413 Å, c = 10.5437 Å
α = 98.78°, β = 90.00°, γ = 90.00°
Closest atoms and distances in Å follow each position.
Atoms (fractional coordinates):
Tl 0.2500 0.1819 0.2486  1 Au 3.16, 5 Te 3.42-3.49
Tl 0.7500 0.8181 0.7514  1 Au 3.16, 5 Te 3.42-3.49
Sn 0.2500 0.6807 0.1205  6 Te 3.05-3.13
Sn 0.7500 0.3193 0.8795  6 Te 3.05-3.13
Te 0.7500 0.9120 0.0821  2 Sn 3.05, 2 Te 3.32
Te 0.2500 0.0880 0.9179  2 Sn 3.05, 2 Te 3.32
Te 0.2500 0.7319 0.4206  2 Au 2.68
Te 0.7500 0.2681 0.5794  2 Au 2.68
Te 0.7500 0.4515 0.1659  3 Sn 3.05-3.06, 2 Tl 3.42
Te 0.2500 0.5485 0.8341  3 Sn 3.05-3.06, 2 Tl 3.42
Au 0.2500 0.0936 0.5291  2 Te 2.68, 2 Au 2.75
Au 0.7500 0.9064 0.4709  2 Te 2.68, 2 Au 2.75

Computed properties:
Uncorrected formation energy (eV/atom): -0.17
E_tot (eV/cell): -40.14
Space group: P2_1/m


The following is a DFT calculation (GGA-PBE) of a relaxed Pr2AlSnPd6 crystal.

a = 8.7041 Å, b = 5.7409 Å, c = 8.7014 Å
α = 70.74°, β = 38.51°, γ = 90.01°
Closest atoms and distances in Å follow each position.
Atoms (fractional coordinates):
Pr 0.2068 0.7924 0.4152  9 Pd 3.01-3.32
Pr 0.7932 0.2076 0.5848  9 Pd 3.01-3.32
Al 0.5000 0.5000 0.0000  6 Pd 2.52
Sn 0.0000 0.0000 0.0000  6 Pd 2.69-2.70
Pd 0.2556 0.7457 0.0086  1 Al 2.52, 1 Sn 2.70
Pd 0.7444 0.7544 0.9914  1 Al 2.52, 1 Sn 2.70
Pd 0.2440 0.2544 0.4912  1 Al 2.52, 1 Sn 2.69
Pd 0.7444 0.2543 0.9914  1 Al 2.52, 1 Sn 2.70
Pd 0.2556 0.2456 0.0086  1 Al 2.52, 1 Sn 2.70
Pd 0.7560 0.7456 0.5088  1 Al 2.52, 1 Sn 2.69

Computed properties:
E_tot (eV/cell): -54.64
Space group: C2/m
Energy of formation from the pure elements (eV per atom): -0.62


The following is a DFT calculation (GGA-PBE) of a relaxed SmCuGe2Pd crystal.

a = 4.2005 Å, b = 4.2005 Å, c = 5.9826 Å
α = 110.55°, β = 110.55°, γ = 90.00°
Closest atoms and distances in Å follow each position.
Atoms (fractional coordinates):
Sm 0.0000 0.0000 0.0000  8 Ge 3.22, 4 Cu 3.34, 4 Pd 3.34
Cu 0.2500 0.7500 0.5000  4 Ge 2.50
Ge 0.6196 0.6196 0.2391  1 Ge 2.48, 2 Cu 2.50, 2 Pd 2.50
Ge 0.3804 0.3804 0.7609  1 Ge 2.48, 2 Cu 2.50, 2 Pd 2.50
Pd 0.7500 0.2500 0.5000  4 Ge 2.50

Computed properties:
E_tot (eV/cell): -26.63
Space group: I-4m2
Energy of formation from the pure elements (eV per atom): -0.68


The following is a DFT calculation (GGA-PBE) of a relaxed CsAc2I2Cl5 crystal.

a = 4.4612 Å, b = 12.2258 Å, c = 12.2258 Å
α = 90.00°, β = 90.00°, γ = 90.00°
Closest atoms and distances in Å follow each position.
Atoms (fractional coordinates):
Cs 0.0000 0.0000 0.0000  8 Cl 3.61
Cs 0.0000 0.5000 0.5000  8 Cl 3.61
Ac 0.0000 0.1295 0.6295  6 Cl 2.97-3.16
Ac 0.0000 0.8705 0.3705  6 Cl 2.97-3.16
Ac 0.0000 0.6295 0.8705  6 Cl 2.97-3.16
Ac 0.0000 0.3705 0.1295  6 Cl 2.97-3.16
I 0.0000 0.6642 0.1642  3 Ac 3.57-3.62, 10 Cl 3.61-3.96
I 0.0000 0.3358 0.8358  3 Ac 3.57-3.62, 10 Cl 3.61-3.96
I 0.0000 0.1642 0.3358  3 Ac 3.57-3.62, 10 Cl 3.61-3.96
I 0.0000 0.8358 0.6642  3 Ac 3.57-3.62, 10 Cl 3.61-3.96
Cl 0.5000 0.2191 0.0764  2 Ac 2.97
Cl 0.5000 0.7809 0.9236  2 Ac 2.97
Cl 0.5000 0.0764 0.7809  2 Ac 2.97
Cl 0.5000 0.7191 0.4236  2 Ac 2.97
Cl 0.5000 0.9236 0.2191  2 Ac 2.97
Cl 0.5000 0.2809 0.5764  2 Ac 2.97
Cl 0.5000 0.5764 0.7191  2 Ac 2.97
Cl 0.5000 0.4236 0.2809  2 Ac 2.97
Cl 0.5000 0.5000 0.0000  4 Ac 3.16
Cl 0.5000 0.0000 0.5000  4 Ac 3.16

Computed properties:
Uncorrected formation energy (eV/atom): -2.07
E_tot (eV/cell): -84.14
Space group: P4/mbm


The following is a DFT calculation (GGA-PBE) of a relaxed H6PdRh3 crystal.

a = 4.7907 Å, b = 4.7906 Å, c = 4.7477 Å
α = 90.00°, β = 120.30°, γ = 120.00°
Closest atoms and distances in Å follow each position.
Atoms (fractional coordinates):
H 0.4830 0.5022 0.7549  3 Rh 1.80-1.92, 1 Pd 1.91
H 0.2091 0.7512 0.2296  3 Rh 1.80-1.89
H 0.7717 0.0205 0.2296  3 Rh 1.80-1.89
H 0.2526 0.9808 0.7549  3 Rh 1.80-1.92, 1 Pd 1.91
H 0.7741 0.2719 0.7549  3 Rh 1.80-1.92, 1 Pd 1.91
H 0.4784 0.4579 0.2296  3 Rh 1.80-1.89
Pd 0.7598 0.8799 0.6397  6 H 1.91-2.08
Rh 0.7556 0.3778 0.1334  6 H 1.80-1.92
Rh 0.2568 0.6284 0.8852  6 H 1.80-1.89
Rh 0.2589 0.1295 0.3884  6 H 1.82-1.89

Computed properties:
E_tot (eV/cell): -47.11
Space group: R3


The following is a DFT calculation (GGA-PBE) of a relaxed Mo2S2Cl crystal.

a = 4.4450 Å, b = 4.7831 Å, c = 6.4334 Å
α = 106.97°, β = 110.20°, γ = 90.05°
Closest atoms and distances in Å follow each position.
Atoms (fractional coordinates):
Mo 0.7024 0.1352 0.9057  1 Cl 2.33, 4 S 2.37-2.54
Mo 0.2976 0.8648 0.0943  1 Cl 2.33, 4 S 2.37-2.54
S 0.7513 0.6920 0.0024  4 Mo 2.37-2.54
S 0.2487 0.3080 0.9976  4 Mo 2.37-2.54
Cl 0.5000 0.0000 0.5000  2 Mo 2.33

Computed properties:
Uncorrected formation energy (eV/atom): -0.18
E_tot (eV/cell): -32.68
Space group: C2/m


The following is a DFT calculation (GGA-PBE) of a relaxed CaCd3B crystal.

a = 6.0324 Å, b = 6.0324 Å, c = 6.0324 Å
α = 90.00°, β = 90.00°, γ = 90.00°
Closest atoms and distances in Å follow each position.
Atoms (fractional coordinates):
Ca 0.0000 0.0000 0.0000  6 Cd 3.02
B 0.5000 0.5000 0.5000  12 Cd 4.27
Cd 0.0000 0.5000 0.0000  2 Ca 3.02
Cd 0.0000 0.0000 0.5000  2 Ca 3.02
Cd 0.5000 0.0000 0.0000  2 Ca 3.02

Computed properties:
E_tot (eV/cell): -3.78
Space group: Pm-3m
Energy of formation from the pure elements (eV per atom): 1.53